DFT (PBE) results for Sn6ICl12 after structural relaxation.

Results
raw formation energy = -82 kJ/mol of atoms

Cell lengths 8.6158, 8.6158, 8.6158 Å; angles 102.94, 102.94, 102.94 degrees
Element x y z (fractional)
Sn  0.2614  0.2614  0.6763
Sn  0.2614  0.6763  0.2614
Sn  0.3237  0.7386  0.7386
Sn  0.6763  0.2614  0.2614
Sn  0.7386  0.3237  0.7386
Sn  0.7386  0.7386  0.3237
I  0.0000  0.0000  0.0000
Cl  0.1345  0.5000  0.8655
Cl  0.1345  0.8655  0.5000
Cl  0.1915  0.4648  0.4648
Cl  0.4648  0.1915  0.4648
Cl  0.4648  0.4648  0.1915
Cl  0.5000  0.1345  0.8655
Cl  0.5000  0.8655  0.1345
Cl  0.5352  0.5352  0.8085
Cl  0.5352  0.8085  0.5352
Cl  0.8085  0.5352  0.5352
Cl  0.8655  0.1345  0.5000
Cl  0.8655  0.5000  0.1345